The following is a PBE calculation of a relaxed BaPdPt2O crystal, from Alexandria via LeMat-Bulk.

abc: 5.468 5.468 5.567
angles: 90.00 90.00 90.00
Element x y z (fractional)
Ba  0.000  0.000  0.000
Pd  0.000  0.000  0.500
Pt  0.000  0.500  0.000
Pt  0.500  0.000  0.000
O  0.500  0.500  0.500

Calculated values
ρ = 6.48 g cm⁻³
Final energy = -14.86 eV for the cell shown
SG = P4/mmm